DFT (PBE with a Hubbard U) results for an optimized crystal structure of Ba2LiY2Fe4O10.

- E above lowest polymorph (kJ/mol of formula units) = 0
- crystal system = monoclinic

CIF file:
```
data_Ba2LiY2Fe4O10
_symmetry_space_group_name_H-M 'P 1 m 1'
_symmetry_Int_Tables_number 6
_cell_length_a 7.910
_cell_length_b 3.715
_cell_length_c 9.309
_cell_angle_alpha 90.00
_cell_angle_beta 90.95
_cell_angle_gamma 90.00
loop_
_symmetry_equiv_pos_as_xyz
'x,y,z'
'x,-y,z'
loop_
_atom_site_label
_atom_site_type_symbol
_atom_site_fract_x
_atom_site_fract_y
_atom_site_fract_z
_atom_site_occupancy
Ba1 Ba 0.000 0.000 0.000 1
Ba2 Ba 0.496 0.000 0.916 1
Li1 Li 0.530 0.000 0.252 1
Y1 Y 0.030 0.000 0.415 1
Y2 Y 0.547 0.000 0.535 1
Fe1 Fe 0.237 0.500 0.663 1
Fe2 Fe 0.292 0.500 0.229 1
Fe3 Fe 0.752 0.500 0.247 1
Fe4 Fe 0.821 0.500 0.698 1
O1 O 0.007 0.500 0.560 1
O2 O 0.035 0.500 0.252 1
O3 O 0.187 0.500 0.858 1
O4 O 0.263 0.000 0.571 1
O5 O 0.314 0.000 0.157 1
O6 O 0.497 0.500 0.678 1
O7 O 0.499 0.500 0.359 1
O8 O 0.715 0.500 0.039 1
O9 O 0.756 0.000 0.360 1
O10 O 0.765 0.000 0.721 1
```